[1]
A plane-wave DFT calculation with PBE was carried out for crystalline Li2TiMn2 at its relaxed geometry.

DFT formation energy = 3.303 eV per formula unit
crystal system = tetragonal
energy above the lowest structure with this stoichiometry = 0 meV/atom

Lattice parameters (Å, degrees): 3.3169 3.3169 11.3699 90.00 90.00 90.00
Last column: nearest neighbours and their distance in Å.
Space group I4/mmm (No. 139)
Inequivalent atoms, fractional coordinates:
Li1 0.0000 0.0000 0.0985 (multiplicity 4)  1 Li 2.24, 4 Mn 2.39
Ti1 0.0000 0.0000 0.5000 (multiplicity 2)  8 Li 2.60
Mn1 0.0000 0.5000 0.2500 (multiplicity 4)  4 Mn 2.35, 4 Li 2.39


[2]
A plane-wave DFT calculation with PBE was carried out for crystalline ReRu3F at its relaxed geometry.

raw formation energy = 1615 meV per atom
crystal system = cubic
energy above the lowest structure with this stoichiometry = 503 meV/atom

Lattice parameters (Å, degrees): 4.7255 4.7255 4.7255 90.00 90.00 90.00
Last column: nearest neighbours and their distance in Å.
Space group Pm-3m (No. 221)
Inequivalent atoms, fractional coordinates:
Re1 0.0000 0.0000 0.0000 (multiplicity 1)  6 Ru 2.36
Ru1 0.0000 0.0000 0.5000 (multiplicity 3)  2 Re 2.36
F1 0.5000 0.5000 0.5000 (multiplicity 1)  12 Ru 3.34


[3]
A plane-wave DFT calculation with PBE was carried out for crystalline Pu4Pd2C at its relaxed geometry.

DFT formation energy = -0.659 eV per formula unit
crystal system = tetragonal

Lattice parameters (Å, degrees): 4.6786 4.6786 14.7749 90.00 90.00 90.00
Last column: nearest neighbours and their distance in Å.
Space group I4/mmm (No. 139)
Inequivalent atoms, fractional coordinates:
Pu1 0.0000 0.0000 0.1729 (multiplicity 4)  1 C 2.55, 1 Pd 2.83
Pu2 0.0000 0.5000 0.0000 (multiplicity 4)  2 C 2.34
Pd1 0.0000 0.0000 0.3642 (multiplicity 4)  5 Pu 2.83-3.08
C1 0.0000 0.0000 0.0000 (multiplicity 2)  6 Pu 2.34-2.55


[4]
A plane-wave DFT calculation with PBE was carried out for crystalline Cd5Ag3Br12 at its relaxed geometry.

raw formation energy = -550 meV per atom
crystal system = cubic

Lattice parameters (Å, degrees): 17.1038 17.1038 17.1038 90.00 90.00 90.00
Last column: nearest neighbours and their distance in Å.
Space group Ia-3d (No. 230)
Inequivalent atoms, fractional coordinates:
Cd1 0.0000 0.0000 0.0000 (multiplicity 16)  6 Br 2.85
Cd2 0.0000 0.2500 0.3750 (multiplicity 24)  4 Br 2.66
Ag1 0.0000 0.2500 0.1250 (multiplicity 24)  8 Br 3.20-3.29
Br1 0.0260 0.0664 0.6505 (multiplicity 96)  2 Cd 2.66-2.85


Here are the calculated mass density numbers, same order: 4.557 8.001 12.331 4.897 (Mg/m³).
Here are the calculated spin magnetization numbers, same order: 0.00 3.81 43.37 0.00 (μB per cell).